NaCaEuPt after structural relaxation, computed with GGA-PBE.

Results
Total magnetic moment (μB per formula unit): 7.654
Calculated volume (A^3/atom): 25.834
Final energy (eV/cell): -84.9

Structure (POSCAR):
```
NaCaEuPt
1.0
7.449 0.000 0.000
0.000 7.449 0.000
0.000 0.000 7.449
Na Ca Eu Pt
4 4 4 4
Direct
0.000 0.000 0.000
0.000 0.500 0.500
0.500 0.000 0.500
0.500 0.500 0.000
0.250 0.250 0.750
0.250 0.750 0.250
0.750 0.250 0.250
0.750 0.750 0.750
0.250 0.250 0.250
0.250 0.750 0.750
0.750 0.250 0.750
0.750 0.750 0.250
0.000 0.000 0.500
0.000 0.500 0.000
0.500 0.000 0.000
0.500 0.500 0.500
```